Entry 1:
A plane-wave DFT calculation with PBE-GGA was carried out for a geometry-optimized Cs2BaGaI5 structure.

Values from the calculation:
**Symmetry**: No. 36
**Density of states at the Fermi level**: 0.00 states/eV/atom
**Uncorrected formation energy**: -1344 meV/atom
**Uncorrected energy**: -53.0 eV per cell

```
Cs2BaGaI5
1.0
2.643 -10.947 0.000
2.643 10.947 0.000
0.000 0.000 16.639
Cs Ba Ga I
4 2 2 10
direct
0.095 0.905 0.500
0.130 0.870 0.135
0.870 0.130 0.635
0.905 0.095 0.000
0.216 0.784 0.850
0.784 0.216 0.350
0.463 0.537 0.283
0.537 0.463 0.783
0.063 0.937 0.891
0.273 0.727 0.491
0.314 0.686 0.218
0.372 0.628 0.822
0.496 0.504 0.603
0.504 0.496 0.103
0.628 0.372 0.322
0.686 0.314 0.718
0.727 0.273 0.991
0.937 0.063 0.391
```

***

Entry 2:
A plane-wave DFT calculation with PBE-GGA was carried out for a geometry-optimized Cs2BaGaI6 structure.

Values from the calculation:
**Symmetry**: No. 139
**Density of states at the Fermi level**: 0.85 states/eV/atom
**Uncorrected formation energy**: -1197 meV/atom
**Uncorrected energy**: -27.9 eV per cell

```
Cs2BaGaI6
1.0
-4.497 4.497 6.353
4.497 -4.497 6.353
4.497 4.497 -6.353
Cs Ba Ga I
2 1 1 6
direct
0.250 0.750 0.500
0.750 0.250 0.500
0.000 0.000 0.000
0.500 0.500 0.000
0.266 0.266 0.000
0.266 0.266 0.531
0.266 0.734 0.000
0.734 0.266 0.000
0.734 0.734 0.000
0.734 0.734 0.469
```

***

Entry 3:
A plane-wave DFT calculation with PBE-GGA was carried out for a geometry-optimized CsBaGa2I8 structure.

Values from the calculation:
**Symmetry**: No. 148
**Density of states at the Fermi level**: 0.66 states/eV/atom
**Uncorrected formation energy**: -915 meV/atom
**Uncorrected energy**: -32.2 eV per cell

```
CsBaGa2I8
1.0
3.901 2.252 11.299
-3.901 2.252 11.299
0.000 -4.505 11.299
Cs Ba Ga I
1 1 2 8
direct
0.000 0.000 0.000
0.500 0.500 0.500
0.254 0.254 0.254
0.746 0.746 0.746
0.083 0.428 0.804
0.196 0.917 0.572
0.332 0.332 0.332
0.428 0.804 0.083
0.572 0.196 0.917
0.668 0.668 0.668
0.804 0.083 0.428
0.917 0.572 0.196
```

***

Entry 4:
A plane-wave DFT calculation with PBE-GGA was carried out for a geometry-optimized CsBa2GaIr structure.

Values from the calculation:
**Symmetry**: No. 123
**Density of states at the Fermi level**: 0.51 states/eV/atom
**Formation enthalpy at 0 K**: -80 meV/atom
**Uncorrected energy**: -17.0 eV per cell

```
CsBa2GaIr
1.0
6.231 0.000 0.000
0.000 6.231 0.000
0.000 0.000 5.035
Cs Ba Ga Ir
1 2 1 1
direct
0.000 0.000 0.000
0.000 0.500 0.500
0.500 0.000 0.500
0.500 0.500 0.000
0.500 0.500 0.500
```

***

Entry 5:
A plane-wave DFT calculation with PBE-GGA was carried out for a geometry-optimized CsKBa2Ga structure.

Values from the calculation:
**Symmetry**: No. 123
**Density of states at the Fermi level**: 1.19 states/eV/atom
**Formation enthalpy at 0 K**: 18 meV/atom
**Uncorrected energy**: -8.7 eV per cell

```
CsKBa2Ga
1.0
6.656 0.000 0.000
0.000 6.656 0.000
0.000 0.000 7.263
Cs K Ba Ga
1 1 2 1
direct
0.000 0.000 0.000
0.500 0.500 0.000
0.000 0.500 0.500
0.500 0.000 0.500
0.500 0.500 0.500
```

***

Entry 6:
A plane-wave DFT calculation with PBE-GGA was carried out for a geometry-optimized CsBa2NaGa structure.

Values from the calculation:
**Symmetry**: No. 123
**Density of states at the Fermi level**: 1.51 states/eV/atom
**Formation enthalpy at 0 K**: 27 meV/atom
**Uncorrected energy**: -8.9 eV per cell

```
CsBa2NaGa
1.0
6.663 0.000 0.000
0.000 6.663 0.000
0.000 0.000 6.421
Cs Ba Na Ga
1 2 1 1
direct
0.000 0.000 0.000
0.000 0.500 0.500
0.500 0.000 0.500
0.500 0.500 0.000
0.500 0.500 0.500
```

***

Entry 7:
A plane-wave DFT calculation with PBE-GGA was carried out for a geometry-optimized CsBa2GaNi structure.

Values from the calculation:
**Symmetry**: No. 123
**Density of states at the Fermi level**: 0.90 states/eV/atom
**Formation enthalpy at 0 K**: 48 meV/atom
**Uncorrected energy**: -13.3 eV per cell

```
CsBa2GaNi
1.0
6.207 0.000 0.000
0.000 6.207 0.000
0.000 0.000 4.914
Cs Ba Ga Ni
1 2 1 1
direct
0.000 0.000 0.000
0.000 0.500 0.500
0.500 0.000 0.500
0.500 0.500 0.000
0.500 0.500 0.500
```

***

Entry 8:
A plane-wave DFT calculation with PBE-GGA was carried out for a geometry-optimized CsBa2GaO4 structure.

Values from the calculation:
**Symmetry**: No. 63
**Density of states at the Fermi level**: 0.00 states/eV/atom
**Uncorrected formation energy**: -2087 meV/atom
**Uncorrected energy**: -88.5 eV per cell

```
CsBa2GaO4
1.0
1.864 -6.977 0.000
1.864 6.977 0.000
0.000 0.000 13.079
Cs Ba Ga O
2 4 2 8
direct
0.083 0.917 0.750
0.917 0.083 0.250
0.370 0.630 0.536
0.370 0.630 0.964
0.630 0.370 0.036
0.630 0.370 0.464
0.195 0.805 0.250
0.805 0.195 0.750
0.000 0.000 0.000
0.000 0.000 0.500
0.256 0.744 0.126
0.256 0.744 0.374
0.375 0.625 0.750
0.625 0.375 0.250
0.744 0.256 0.626
0.744 0.256 0.874
```